1.
ScBP2C, relaxed, DFT GGA-PBE; ΔE_f = -19 kJ/mol of atoms; relative energy among the computed polymorphs = 43 meV/atom; space-group type = Cm (8)
1.0
5.177 0.000 -0.029
0.000 3.092 0.000
-1.231 0.000 8.692
C P Sc B
2 4 2 2
Direct
0.123 0.500 0.690 C
0.123 0.000 0.190 C
0.943 0.000 0.612 P
0.628 0.000 0.791 P
0.628 0.500 0.291 P
0.943 0.500 0.112 P
0.142 0.000 0.912 Sc
0.142 0.500 0.412 Sc
0.421 0.000 0.255 B
0.421 0.500 0.755 B

***

2.
Na2Sr4Au, relaxed, DFT GGA-PBE; ΔE_f = -15 kJ/mol of atoms; relative energy among the computed polymorphs = 55 meV/atom; space-group type = I4/mmm (139)
1.0
-1.257 -4.440 3.896
5.877 -1.344 0.365
3.251 3.188 9.364
Sr Na Au
4 2 1
Direct
0.833 0.833 0.334 Sr
0.000 0.500 0.000 Sr
0.500 0.000 0.000 Sr
0.167 0.167 0.666 Sr
0.367 0.367 0.266 Na
0.633 0.633 0.734 Na
0.000 0.000 0.000 Au

***

3.
Pm8GePt2, relaxed, DFT GGA-PBE; ΔE_f = -47 kJ/mol of atoms; relative energy among the computed polymorphs = 83 meV/atom; space-group type = Cm (8)
1.0
6.113 0.159 -0.963
-1.874 6.959 -2.939
-0.002 -0.113 7.782
Pt Pm Ge
2 8 1
Direct
0.499 0.318 0.689 Pt
0.499 0.689 0.318 Pt
0.981 0.772 0.226 Pm
0.807 0.650 0.650 Pm
0.365 0.661 0.924 Pm
0.184 0.376 0.376 Pm
0.365 0.924 0.661 Pm
0.583 0.075 0.332 Pm
0.583 0.332 0.075 Pm
0.981 0.226 0.772 Pm
0.153 0.012 0.012 Ge

***

4.
Ac2Pr3Se8, relaxed, DFT GGA-PBE; relative energy among the computed polymorphs = 13 meV/atom; energy relative to the elements, uncorrected = -1.7481 eV/atom; space-group type = Cmmm (65)
1.0
5.074 0.000 0.000
0.000 9.103 -5.230
0.000 -0.806 9.132
Se Pr Ac
8 3 2
Direct
0.500 0.356 0.241 Se
0.000 0.115 0.231 Se
0.500 0.644 0.759 Se
0.000 0.377 0.753 Se
0.500 0.115 0.759 Se
0.000 0.623 0.247 Se
0.500 0.885 0.241 Se
0.000 0.885 0.769 Se
0.000 0.716 0.000 Pr
0.500 0.000 0.000 Pr
0.000 0.284 0.000 Pr
0.500 0.736 0.473 Ac
0.500 0.264 0.527 Ac

***

5.
Pr6GaCo2I3, relaxed, DFT GGA-PBE; energy relative to the elements, uncorrected = -0.6121 eV/atom; space-group type = C2/m (12)
1.0
-7.232 0.658 0.406
2.960 -6.392 -1.812
1.673 -0.198 8.319
I Pr Co Ga
3 6 2 1
Direct
0.162 0.838 0.500 I
0.838 0.162 0.500 I
0.500 0.500 0.500 I
0.704 0.704 0.188 Pr
0.578 0.937 0.810 Pr
0.937 0.578 0.810 Pr
0.063 0.422 0.190 Pr
0.296 0.296 0.812 Pr
0.422 0.063 0.190 Pr
0.667 0.333 0.000 Co
0.333 0.667 0.000 Co
0.000 0.000 0.000 Ga

***

6.
Nb2CdAgOs, relaxed, DFT GGA-PBE; ΔE_f = 219 kJ/mol of atoms; space-group type = P4/mmm (123)
1.0
4.975 0.000 0.000
0.000 4.722 0.000
0.000 0.000 4.975
Os Nb Ag Cd
1 2 1 1
Direct
0.500 0.500 0.500 Os
0.000 0.000 0.500 Nb
0.500 0.000 0.000 Nb
0.000 0.500 0.000 Ag
0.000 0.000 0.000 Cd

***

7.
Y3Ho2Os2, relaxed, DFT GGA-PBE; ΔE_f = -22 kJ/mol of atoms; space-group type = C2/m (12)
1.0
-0.871 -2.034 3.280
-1.177 -3.691 -4.987
8.008 -0.195 2.006
Os Y Ho
2 3 2
Direct
0.821 0.643 0.787 Os
0.179 0.357 0.213 Os
0.375 0.751 0.568 Y
0.625 0.249 0.432 Y
0.500 0.000 0.000 Y
0.168 0.335 0.818 Ho
0.832 0.665 0.182 Ho

***

8.
Li3Sn4S8, relaxed, DFT GGA-PBE; energy relative to the elements, uncorrected = -0.6551 eV/atom; space-group type = C2/m (12)
1.0
-4.570 -2.564 -5.441
7.533 -1.290 -0.533
-0.257 -3.249 6.934
Li S Sn
3 8 4
Direct
0.500 0.000 0.500 Li
0.500 0.500 0.000 Li
0.500 0.500 0.500 Li
0.530 0.769 0.769 S
0.000 0.762 0.238 S
0.994 0.749 0.749 S
0.006 0.251 0.251 S
0.000 0.238 0.762 S
0.470 0.231 0.231 S
0.500 0.246 0.754 S
0.500 0.754 0.246 S
0.000 0.000 0.000 Sn
0.000 0.500 0.000 Sn
0.000 0.000 0.500 Sn
0.500 0.000 0.000 Sn

***

9.
Nd6Si2Te3I, relaxed, DFT GGA-PBE; energy relative to the elements, uncorrected = -1.1731 eV/atom; space-group type = C2/m (12)
1.0
4.380 0.000 0.000
0.000 9.010 0.359
-2.190 -2.555 9.364
Si Te Nd I
2 3 6 1
Direct
0.830 0.663 0.660 Si
0.170 0.337 0.340 Si
0.158 0.838 0.315 Te
0.842 0.162 0.685 Te
0.500 0.500 0.000 Te
0.018 0.274 0.036 Nd
0.982 0.726 0.964 Nd
0.327 0.430 0.654 Nd
0.673 0.570 0.346 Nd
0.323 0.879 0.647 Nd
0.677 0.121 0.353 Nd
0.500 0.000 0.000 I

***

10.
PmNdAl2, relaxed, DFT GGA-PBE; ΔE_f = -35 kJ/mol of atoms; relative energy among the computed polymorphs = 0 meV/atom; space-group type = Fm-3m (225)
1.0
-0.324 -4.926 1.798
-0.814 -3.969 -3.345
3.858 -3.422 -1.004
Nd Al Pm
1 2 1
Direct
0.500 0.500 0.500 Nd
0.250 0.250 0.250 Al
0.750 0.750 0.750 Al
0.000 0.000 0.000 Pm

***

11.
ReTcAu2, relaxed, DFT GGA-PBE; ΔE_f = 69 kJ/mol of atoms; relative energy among the computed polymorphs = 585 meV/atom; space-group type = P4/mmm (123)
1.0
-0.793 -4.793 0.201
4.052 -0.560 2.629
-1.462 0.339 2.326
Au Tc Re
2 1 1
Direct
0.500 0.500 0.000 Au
0.000 0.000 0.000 Au
0.000 0.500 0.500 Tc
0.500 0.000 0.500 Re

***

12.
Ho2Ge5Pd3, relaxed, DFT GGA-PBE; ΔE_f = -64 kJ/mol of atoms; relative energy among the computed polymorphs = 10 meV/atom; space-group type = Cmc2_1 (36)
1.0
4.300 0.000 -0.732
0.000 6.977 0.000
-0.104 0.000 12.376
Pd Ge Ho
6 10 4
Direct
0.395 0.023 0.790 Pd
0.055 0.961 0.110 Pd
0.222 0.210 0.445 Pd
0.945 0.461 0.890 Pd
0.605 0.523 0.210 Pd
0.778 0.710 0.555 Pd
0.295 0.928 0.591 Ge
0.047 0.575 0.095 Ge
0.705 0.428 0.409 Ge
0.398 0.396 0.796 Ge
0.118 0.271 0.236 Ge
0.882 0.771 0.764 Ge
0.711 0.015 0.422 Ge
0.602 0.896 0.204 Ge
0.289 0.515 0.578 Ge
0.953 0.075 0.905 Ge
0.480 0.745 0.960 Ho
0.174 0.742 0.348 Ho
0.826 0.242 0.652 Ho
0.520 0.245 0.040 Ho

***

13.
UH6Os, relaxed, DFT GGA-PBE; space-group type = R-3m (166)
1.0
3.895 0.000 2.035
1.416 3.628 2.035
0.100 0.068 4.554
Os H U
1 6 1
Direct
0.000 0.000 0.000 Os
0.106 0.106 0.245 H
0.544 0.106 0.245 H
0.106 0.544 0.245 H
0.894 0.894 0.755 H
0.456 0.894 0.755 H
0.894 0.456 0.755 H
0.500 0.500 0.500 U

***

14.
TiSiGe2W, relaxed, DFT GGA-PBE; energy relative to the elements, uncorrected = 1.2674 eV/atom; space-group type = P4/mmm (123)
1.0
4.819 0.000 0.000
0.000 4.641 0.000
0.000 0.000 4.819
Ge Ti Si W
2 1 1 1
Direct
0.500 0.000 0.000 Ge
0.000 0.000 0.500 Ge
0.000 0.000 0.000 Ti
0.500 0.500 0.500 Si
0.000 0.500 0.000 W

***

15.
Cs3TmBi2S6, relaxed, DFT GGA-PBE; energy relative to the elements, uncorrected = -1.1196 eV/atom; space-group type = C2/m (12)
1.0
7.237 0.000 0.001
-3.617 6.268 0.001
-1.207 -2.089 8.044
S Cs Bi Tm
6 3 2 1
Direct
0.741 0.741 0.186 S
0.938 0.617 0.815 S
0.062 0.383 0.185 S
0.617 0.938 0.815 S
0.259 0.259 0.814 S
0.383 0.062 0.185 S
0.170 0.830 0.500 Cs
0.830 0.170 0.500 Cs
0.500 0.500 0.500 Cs
0.666 0.334 0.000 Bi
0.334 0.666 0.000 Bi
0.000 0.000 0.000 Tm

***

16.
YMgNiPd, relaxed, DFT GGA-PBE; ΔE_f = -50 kJ/mol of atoms; space-group type = F-43m (216)
1.0
4.701 0.000 0.000
2.350 4.071 0.000
2.350 1.357 3.838
Mg Pd Y Ni
1 1 1 1
Direct
0.000 0.000 0.000 Mg
0.250 0.250 0.250 Pd
0.500 0.500 0.500 Y
0.750 0.750 0.750 Ni

***

17.
NdGdPtRh, relaxed, DFT GGA-PBE; ΔE_f = -88 kJ/mol of atoms; space-group type = F-43m (216)
1.0
-1.257 -1.169 -4.700
-2.001 -4.472 -1.016
-4.823 -0.349 -1.287
Gd Nd Rh Pt
1 1 1 1
Direct
0.000 0.000 0.000 Gd
0.500 0.500 0.500 Nd
0.250 0.250 0.250 Rh
0.750 0.750 0.750 Pt

***

18.
Ta2TePt, relaxed, DFT GGA-PBE; energy relative to the elements, uncorrected = 0.3463 eV/atom; space-group type = F-43m (216)
1.0
4.752 0.000 0.000
2.376 4.115 0.000
2.376 1.372 3.880
Te Ta Pt
1 2 1
Direct
0.750 0.750 0.750 Te
0.000 0.000 0.000 Ta
0.250 0.250 0.250 Ta
0.500 0.500 0.500 Pt

***

19.
SrTlRh2, relaxed, DFT GGA-PBE; ΔE_f = 14 kJ/mol of atoms; relative energy among the computed polymorphs = 310 meV/atom; space-group type = I-42d (122)
1.0
4.799 0.000 0.000
0.000 4.799 0.000
2.399 2.399 9.335
Tl Rh Sr
2 4 2
Direct
0.000 0.000 0.000 Tl
0.750 0.250 0.500 Tl
0.966 0.625 0.250 Rh
0.375 0.216 0.750 Rh
0.784 0.125 0.250 Rh
0.875 0.034 0.750 Rh
0.500 0.500 0.000 Sr
0.250 0.750 0.500 Sr

***

20.
GdSc2Pb, relaxed, DFT GGA-PBE; ΔE_f = -14 kJ/mol of atoms; relative energy among the computed polymorphs = 125 meV/atom; space-group type = P4/mmm (123)
1.0
-1.705 -1.982 2.443
3.002 -1.856 0.588
2.167 5.363 5.865
Pb Gd Sc
1 1 2
Direct
0.500 0.500 0.000 Pb
0.500 0.500 0.500 Gd
0.000 0.000 0.230 Sc
0.000 0.000 0.770 Sc

***

21.
BaCd2Pt, relaxed, DFT GGA-PBE; ΔE_f = -24 kJ/mol of atoms; space-group type = I-42d (122)
1.0
5.275 0.000 0.000
0.000 5.275 0.000
2.637 2.637 9.560
Cd Pt Ba
4 2 2
Direct
0.375 0.154 0.750 Cd
0.904 0.625 0.250 Cd
0.846 0.125 0.250 Cd
0.875 0.096 0.750 Cd
0.000 0.000 0.000 Pt
0.750 0.250 0.500 Pt
0.500 0.500 0.000 Ba
0.250 0.750 0.500 Ba

***

22.
VBiS2Cl, relaxed, DFT GGA-PBE; relative energy among the computed polymorphs = 818 meV/atom; energy relative to the elements, uncorrected = 0.4894 eV/atom; space-group type = P4/mmm (123)
1.0
-5.029 -1.619 -0.512
1.571 -3.826 -3.326
0.634 -3.240 4.026
S Cl V Bi
2 1 1 1
Direct
0.500 0.000 0.000 S
0.000 0.500 0.000 S
0.000 0.000 0.500 Cl
0.500 0.500 0.500 V
0.000 0.000 0.000 Bi

***

23.
ZnTc2Sb, relaxed, DFT GGA-PBE; relative energy among the computed polymorphs = 253 meV/atom; energy relative to the elements, uncorrected = 0.3557 eV/atom; space-group type = P2/m (10)
1.0
4.321 0.000 0.000
0.000 3.017 0.001
0.000 0.404 5.160
Tc Sb Zn
2 1 1
Direct
0.000 0.952 0.029 Tc
0.000 0.548 0.471 Tc
0.500 0.750 0.750 Sb
0.500 0.250 0.250 Zn

***

24.
Zn3Cu, relaxed, DFT GGA-PBE; ΔE_f = 0 kJ/mol of atoms; space-group type = R-3m (166)
1.0
-0.297 2.145 1.450
-0.702 -3.528 3.515
4.705 0.700 -1.634
Cu Zn
1 3
Direct
0.000 0.000 0.000 Cu
0.000 0.500 0.500 Zn
0.500 0.500 0.000 Zn
0.500 0.000 0.500 Zn

***

25.
Sr3AgH, relaxed, DFT GGA-PBE; relative energy among the computed polymorphs = 0 meV/atom; space-group type = P2_1/m (11)
1.0
4.055 0.000 0.000
0.000 7.783 0.302
0.000 -1.428 10.358
Ag Sr H
2 6 2
Direct
0.750 0.637 0.789 Ag
0.250 0.363 0.211 Ag
0.250 0.373 0.635 Sr
0.750 0.094 0.341 Sr
0.750 0.260 0.971 Sr
0.250 0.740 0.029 Sr
0.250 0.906 0.659 Sr
0.750 0.627 0.365 Sr
0.750 0.117 0.586 H
0.250 0.883 0.414 H

***

no.,magnetization (μB per formula unit),VASP energy (eV/atom)
1,0.0,-6.8108
2,0.0,-1.9631
3,0.0,-5.4568
4,0.0,-5.6274
5,0.0,-4.8259
6,0.8,-4.7611
7,0.0,-7.5157
8,0.0,-4.3066
9,0.0,-5.3755
10,0.0,-4.6109
11,0.1,-6.6226
12,0.0,-5.4430
13,2.0,-5.4802
14,0.0,-5.8337
15,0.0,-4.4162
16,0.0,-5.2766
17,7.0,-8.9677
18,0.0,-7.8756
19,0.0,-4.5396
20,7.7,-7.7619
21,0.0,-2.6956
22,3.2,-4.1308
23,0.0,-6.1763
24,0.0,-1.9794
25,0.0,-2.4673